[1]
HfNbCuBi | GGA-PBE | optimized geometry

It has space group F-43m (No. 216), with a = 6.815 Å, b = 6.815 Å, c = 6.815 Å, α = 90.00°, β = 90.00° and γ = 90.00°. The distinct sites, in fractional coordinates, are Hf at (0.000, 0.000, 0.000), Nb at (0.250, 0.250, 0.750), Cu at (0.250, 0.250, 0.250) and Bi at (0.000, 0.000, 0.500).

---

[2]
LiYAsAu | GGA-PBE | optimized geometry

It has space group F-43m (No. 216), with a = 6.840 Å, b = 6.840 Å, c = 6.840 Å, α = 90.00°, β = 90.00° and γ = 90.00°. The distinct sites, in fractional coordinates, are Li at (0.000, 0.000, 0.000), Y at (0.250, 0.250, 0.750), As at (0.250, 0.250, 0.250) and Au at (0.000, 0.000, 0.500).

---

In μB per formula unit, the total magnetization values for the records above are, in order, 0.005, 0.002.
In eV per formula unit, the calculated total energy values for the records above are, in order, -26.04, -18.17.